[1]
LaCu3Tc, relaxed, DFT PBE; DOS(E_F) = 1.0114 states/eV/atom; final energy = -5.03 eV/atom; offset from the most stable computed form = 0.000 kcal/mol of atoms; space group = No. 221
1.0
-1.0843 -0.6203 4.5262
-3.3727 -3.0291 -1.2231
3.0815 -3.5336 0.2540
Cu Tc La
3 1 1
direct
0.5000 0.0000 0.0000 Cu
0.0000 0.5000 0.0000 Cu
0.0000 0.0000 0.5000 Cu
0.0000 0.0000 0.0000 Tc
0.5000 0.5000 0.5000 La

[2]
La2CuTc, relaxed, DFT PBE; DOS(E_F) = 0.9259 states/eV/atom; final energy = -5.84 eV/atom; space group = No. 12
1.0
4.2405 -0.0097 0.0017
2.7374 3.2386 0.0017
1.2905 0.5971 7.4947
La Tc Cu
2 1 1
direct
0.0020 0.0020 0.0234 La
0.4980 0.4980 0.4766 La
0.2500 0.2500 0.2500 Tc
0.7500 0.7500 0.7500 Cu

[3]
LaCuTc3, relaxed, DFT PBE; DOS(E_F) = 2.1202 states/eV/atom; final energy = -6.86 eV/atom; offset from the most stable computed form = 0.000 kcal/mol of atoms; space group = No. 221
1.0
4.6305 0.0000 0.0000
0.0000 4.6305 0.0000
0.0000 0.0000 4.6305
Tc Cu La
3 1 1
direct
0.5000 0.0000 0.0000 Tc
0.0000 0.5000 0.0000 Tc
0.0000 0.0000 0.5000 Tc
0.0000 0.0000 0.0000 Cu
0.5000 0.5000 0.5000 La

[4]
LaCuTc, relaxed, DFT PBE; DOS(E_F) = 1.1250 states/eV/atom; final energy = -5.78 eV/atom; offset from the most stable computed form = 9.547 kcal/mol of atoms; space group = No. 156
1.0
2.9242 0.0000 0.0000
-1.4621 2.5325 0.0000
0.0000 0.0000 7.6066
Cu La Tc
1 1 1
direct
0.0000 0.0000 0.9666 Cu
0.6667 0.3333 0.3342 La
0.3333 0.6667 0.6992 Tc

[5]
La2CuTc, relaxed, DFT PBE; DOS(E_F) = 0.3260 states/eV/atom; final energy = -6.03 eV/atom; space group = No. 160
1.0
7.6069 0.0258 0.0158
6.3753 4.1498 0.0158
6.3753 1.9039 3.6873
Tc Cu La
1 1 2
direct
0.4579 0.4579 0.4579 Tc
0.7922 0.7922 0.7922 Cu
0.0400 0.0400 0.0400 La
0.2099 0.2099 0.2099 La

[6]
LaCu4Tc, relaxed, DFT PBE; DOS(E_F) = 0.3140 states/eV/atom; final energy = -5.13 eV/atom; space group = No. 216
1.0
-5.0417 -0.1735 0.5821
-2.6209 4.2881 0.7287
-3.0411 1.7704 -3.6614
La Cu Tc
1 4 1
direct
0.7500 0.7500 0.7500 La
0.3730 0.3730 0.8811 Cu
0.3730 0.8811 0.3730 Cu
0.3730 0.3730 0.3730 Cu
0.8811 0.3730 0.3730 Cu
0.0000 0.0000 0.0000 Tc

[7]
La4CuTc, relaxed, DFT PBE; DOS(E_F) = 1.1329 states/eV/atom; final energy = -5.77 eV/atom; offset from the most stable computed form = 0.000 kcal/mol of atoms; space group = No. 15
1.0
-6.4929 1.3241 4.0474
5.9136 -2.1466 4.5512
1.5419 5.8487 2.3211
Tc Cu La
2 2 8
direct
0.0000 0.0000 0.7500 Tc
0.0000 0.0000 0.2500 Tc
0.3738 0.6262 0.7500 Cu
0.6262 0.3738 0.2500 Cu
0.7224 0.0651 0.5320 La
0.6219 0.7787 0.0771 La
0.0651 0.7224 0.0320 La
0.2776 0.9349 0.4680 La
0.2213 0.3781 0.4229 La
0.3781 0.2213 0.9229 La
0.7787 0.6219 0.5771 La
0.9349 0.2776 0.9680 La

[8]
La2CuTc, relaxed, DFT PBE; DOS(E_F) = 0.5527 states/eV/atom; final energy = -5.98 eV/atom; space group = No. 44
1.0
5.9994 -0.0001 0.0408
4.8789 3.4914 0.0408
1.9308 0.6197 4.4033
La Tc Cu
2 1 1
direct
0.0193 0.0193 0.9809 La
0.2193 0.2193 0.2806 La
0.4645 0.4645 0.5358 Tc
0.7969 0.7969 0.7028 Cu

[9]
LaCuTc, relaxed, DFT PBE; DOS(E_F) = 1.3483 states/eV/atom; final energy = -5.89 eV/atom; offset from the most stable computed form = 7.032 kcal/mol of atoms; space group = No. 216
1.0
-2.5938 -2.0336 3.0661
1.1307 -4.0672 1.5636
1.4581 -0.4581 4.2343
La Cu Tc
1 1 1
direct
0.5000 0.5000 0.5000 La
0.0000 0.0000 0.0000 Cu
0.7500 0.7500 0.7500 Tc

[10]
La2CuTc, relaxed, DFT PBE; DOS(E_F) = 0.1702 states/eV/atom; final energy = -6.07 eV/atom; space group = No. 65
1.0
-2.2122 2.5823 1.0892
-2.6942 -2.3410 0.0964
1.6350 -1.5898 7.0900
La Cu Tc
2 1 1
direct
0.0000 0.0000 0.4842 La
0.0000 0.0000 0.0158 La
0.5000 0.5000 0.7500 Cu
0.5000 0.5000 0.2500 Tc

Q: What is the formula in the fourth record?
A: LaCuTc

Q: The lowest final energy belongs to which entry?
A: LaCuTc3

Q: What is the DOS(E_F) in the fifth record?
A: 0.3260 states/eV/atom

Q: What is the final energy in the second record?
A: -5.84 eV/atom